# 1
DFT (PBE) results for a relaxed structure of MgAlBr2.

POSCAR file:
```
MgAlBr2
1.0
1.8320 -3.2210 0.0000
1.8320 3.2210 0.0000
0.0000 0.0000 9.8729
Mg Al Br
1 1 2
direct
0.0000 0.0000 0.0000
0.5000 0.5000 0.2247
0.0000 0.0000 0.4102
0.5000 0.5000 0.8231
```

The calculation puts the excess energy over the best structure of this formula in the dataset at 66.6 meV/atom. Its symmetry is Cmm2. The calculation puts the uncorrected formation energy at -0.571 eV per atom.

# 2
DFT (PBE) results for a relaxed structure of MgCrGe3.

POSCAR file:
```
MgCrGe3
1.0
4.6954 0.0000 0.0000
0.0000 4.6954 0.0000
0.0000 0.0000 4.6954
Mg Cr Ge
1 1 3
direct
0.0000 0.0000 0.0000
0.5000 0.5000 0.5000
0.0000 0.5000 0.5000
0.5000 0.0000 0.5000
0.5000 0.5000 0.0000
```

Its formation energy is 21.8 kJ per mole of atoms. Its symmetry is Pm-3m.